# 1
# LaSnHPb2

Crystalline LaSnHPb2 at its relaxed geometry (GGA-PBE, Alexandria via LeMat-Bulk).

Lattice parameters (Å, degrees): 5.0486 5.0486 4.8046 90.00 90.00 90.00
Closest atoms and distances in Å follow each position.
Atoms (fractional coordinates):
H (0.0000, 0.0000, 0.0000)  2 La 2.40, 4 Pb 2.52
Pb (0.0000, 0.5000, 0.0000)  2 H 2.52
Pb (0.5000, 0.0000, 0.0000)  2 H 2.52
La (0.0000, 0.0000, 0.5000)  2 H 2.40
Sn (0.5000, 0.5000, 0.5000)  8 Pb 3.48, 4 La 3.57

Values from the calculation:
The total magnetization is 0.00 μB per formula unit. As for the energy: -4.20 eV per atom. The symmetry is P4/mmm, No. 123. As for the energy above the most stable polymorph in this dataset: 0.000 eV per atom. For the density, the calculation gives 9126 kg/m3.

# 2
# SrBe2Sb

Crystalline SrBe2Sb at its relaxed geometry (GGA-PBE, Alexandria via LeMat-Bulk).

Lattice parameters (Å, degrees): 4.0690 4.0690 6.2480 69.87 69.87 71.24
Closest atoms and distances in Å follow each position.
Atoms (fractional coordinates):
Sr (0.2500, 0.2500, 0.2500)  8 Be 3.13-3.50, 2 Sb 3.46
Sb (0.7500, 0.7500, 0.7500)  6 Be 2.48-2.62
Be (0.0659, 0.0659, 0.8643)  1 Be 2.24, 1 Sb 2.48
Be (0.4341, 0.4341, 0.6357)  1 Be 2.24, 1 Sb 2.48

Values from the calculation:
The total magnetization is 0.00 μB per formula unit. As for the energy: -3.14 eV per atom. The value obtained for the raw formation energy is 0.71 eV per formula unit. The symmetry is C2/m, No. 12. For the density, the calculation gives 4255 kg/m3.

# 3
# TbNi4Ge

Crystalline TbNi4Ge at its relaxed geometry (GGA-PBE, Alexandria via LeMat-Bulk).

Lattice parameters (Å, degrees): 3.7343 6.2568 7.6078 90.00 104.21 90.00
Closest atoms and distances in Å follow each position.
Atoms (fractional coordinates):
Ge (0.7618, 0.2500, 0.5236)  7 Ni 2.33-2.42
Ge (0.2382, 0.7500, 0.4764)  7 Ni 2.33-2.42
Ni (0.6729, 0.5582, 0.3457)  3 Ge 2.33-2.42, 4 Ni 2.40-2.61
Ni (0.3271, 0.0582, 0.6543)  3 Ge 2.33-2.42, 4 Ni 2.40-2.61
Ni (0.9203, 0.2500, 0.8406)  1 Ge 2.34, 4 Ni 2.61
Ni (0.5000, 0.0000, 0.0000)  6 Ni 2.58-2.70, 4 Tb 2.86
Ni (0.5000, 0.5000, 0.0000)  6 Ni 2.58-2.70, 4 Tb 2.86
Ni (0.6729, 0.9418, 0.3457)  3 Ge 2.33-2.42, 4 Ni 2.40-2.61
Ni (0.0797, 0.7500, 0.1594)  1 Ge 2.34, 4 Ni 2.61
Ni (0.3271, 0.4418, 0.6543)  3 Ge 2.33-2.42, 4 Ni 2.40-2.61
Tb (0.8985, 0.7500, 0.7969)  9 Ni 2.67-2.88
Tb (0.1015, 0.2500, 0.2031)  9 Ni 2.67-2.88

Values from the calculation:
The total magnetization is 0.00 μB per formula unit. As for the energy: -5.74 eV per atom. The symmetry is Cmcm, No. 63. As for the energy above the most stable polymorph in this dataset: 0.000 eV per atom. The calculation puts the energy relative to the elements at -8.0 kcal/mol of atoms. For the density, the calculation gives 8988 kg/m3.

# 4
# PrAgSnPd

Crystalline PrAgSnPd at its relaxed geometry (GGA-PBE, Alexandria via LeMat-Bulk).

Lattice parameters (Å, degrees): 4.9943 4.9943 4.9943 60.00 60.00 60.00
Closest atoms and distances in Å follow each position.
Atoms (fractional coordinates):
Pr (0.5000, 0.5000, 0.5000)  4 Pd 3.06, 4 Ag 3.06
Sn (0.0000, 0.0000, 0.0000)  4 Ag 3.06, 4 Pd 3.06
Pd (0.7500, 0.7500, 0.7500)  4 Sn 3.06, 4 Pr 3.06
Ag (0.2500, 0.2500, 0.2500)  4 Pr 3.06, 4 Sn 3.06

Values from the calculation:
The total magnetization is 0.00 μB per formula unit. As for the energy: -4.79 eV per atom. The symmetry is F-43m, No. 216. The calculation puts the energy relative to the elements at -13.4 kcal/mol of atoms. For the density, the calculation gives 8934 kg/m3.

# 5
# KTiHg2Se4

Crystalline KTiHg2Se4 at its relaxed geometry (GGA-PBE, Alexandria via LeMat-Bulk).

Lattice parameters (Å, degrees): 6.9629 6.9629 6.9029 116.00 116.00 97.52
Closest atoms and distances in Å follow each position.
Atoms (fractional coordinates):
Ti (0.4874, 0.4874, 0.9748)  4 Se 2.39-2.45
K (0.0604, 0.0604, 0.1208)  4 Se 3.22-3.35
Se (0.4103, 0.8017, 0.2120)  1 Ti 2.39
Se (0.1329, 0.1329, 0.7044)  1 Ti 2.45
Se (0.8017, 0.4103, 0.2120)  1 Ti 2.39
Se (0.5715, 0.5715, 0.7044)  1 Ti 2.45
Hg (0.7681, 0.2681, 0.5361)  4 Se 2.77-2.90
Hg (0.2681, 0.7681, 0.5361)  4 Se 2.77-2.90

Values from the calculation:
The total magnetization is 0.00 μB per formula unit. As for the energy: -3.59 eV per atom. The value obtained for the raw formation energy is -5.16 eV per formula unit. The symmetry is Fmm2, No. 42. For the density, the calculation gives 5387 kg/m3.

# 6
# Nd2PuTl3S6

Crystalline Nd2PuTl3S6 at its relaxed geometry (GGA-PBE, Alexandria via LeMat-Bulk).

Lattice parameters (Å, degrees): 7.2049 7.2049 7.8464 98.80 98.80 120.00
Closest atoms and distances in Å follow each position.
Atoms (fractional coordinates):
S (0.6059, 0.9329, 0.7984)  1 Pu 2.80, 2 Nd 2.85
S (0.0671, 0.3941, 0.2016)  1 Pu 2.80, 2 Nd 2.85
S (0.7406, 0.7406, 0.2030)  1 Pu 2.80, 2 Nd 2.86
S (0.3941, 0.0671, 0.2016)  1 Pu 2.80, 2 Nd 2.85
S (0.2594, 0.2594, 0.7970)  1 Pu 2.80, 2 Nd 2.86
S (0.9329, 0.6059, 0.7984)  1 Pu 2.80, 2 Nd 2.85
Pu (0.0000, 0.0000, 0.0000)  6 S 2.80
Nd (0.3333, 0.6667, 0.0000)  6 S 2.85-2.86
Nd (0.6667, 0.3333, 0.0000)  6 S 2.85-2.86
Tl (0.5000, 0.5000, 0.5000)  6 S 3.26-3.30
Tl (0.1674, 0.8326, 0.5000)  6 S 3.26-3.30
Tl (0.8326, 0.1674, 0.5000)  6 S 3.26-3.30

Values from the calculation:
The total magnetization is 5.00 μB per formula unit. As for the energy: -6.00 eV per atom. The value obtained for the raw formation energy is -16.28 eV per formula unit. The symmetry is C2/m, No. 12. For the density, the calculation gives 6616 kg/m3.

# 7
# Tb2Sm3Ho6Tm

Crystalline Tb2Sm3Ho6Tm at its relaxed geometry (GGA-PBE, Alexandria via LeMat-Bulk).

Lattice parameters (Å, degrees): 6.1526 6.1526 11.7544 94.99 94.99 119.96
Closest atoms and distances in Å follow each position.
Atoms (fractional coordinates):
Ho (0.0825, 0.4155, 0.2475)  1 Tm 3.52, 2 Tb 3.52-3.53, 6 Ho 3.55-3.56, 3 Sm 3.57
Ho (0.4155, 0.0825, 0.2475)  1 Tm 3.52, 2 Tb 3.52-3.53, 6 Ho 3.55-3.56, 3 Sm 3.57
Ho (0.2503, 0.2503, 0.7523)  1 Tm 3.52, 2 Tb 3.53, 6 Ho 3.55-3.56, 3 Sm 3.57
Ho (0.7497, 0.7497, 0.2477)  1 Tm 3.52, 2 Tb 3.53, 6 Ho 3.55-3.56, 3 Sm 3.57
Ho (0.5845, 0.9175, 0.7525)  1 Tm 3.52, 2 Tb 3.52-3.53, 6 Ho 3.55-3.56, 3 Sm 3.57
Ho (0.9175, 0.5845, 0.7525)  1 Tm 3.52, 2 Tb 3.52-3.53, 6 Ho 3.55-3.56, 3 Sm 3.57
Tb (0.3334, 0.6666, 0.0000)  6 Ho 3.52-3.53, 3 Tb 3.55, 3 Tm 3.55
Tb (0.6666, 0.3334, 0.0000)  6 Ho 3.52-3.53, 3 Tb 3.55, 3 Tm 3.55
Sm (0.1666, 0.8334, 0.5000)  6 Sm 3.55, 6 Ho 3.57
Sm (0.8334, 0.1666, 0.5000)  6 Sm 3.55, 6 Ho 3.57
Sm (0.5000, 0.5000, 0.5000)  6 Sm 3.55, 6 Ho 3.57
Tm (0.0000, 0.0000, 0.0000)  6 Ho 3.52, 6 Tb 3.55

Values from the calculation:
The total magnetization is 0.00 μB per formula unit. As for the energy: -4.60 eV per atom. The symmetry is C2/m, No. 12. The calculation puts the energy relative to the elements at 0.4 kcal/mol of atoms. For the density, the calculation gives 8431 kg/m3.

# 8
# ZnIn2Se

Crystalline ZnIn2Se at its relaxed geometry (GGA-PBE, Alexandria via LeMat-Bulk).

Lattice parameters (Å, degrees): 3.8684 4.0772 6.6119 73.25 90.00 90.00
Closest atoms and distances in Å follow each position.
Atoms (fractional coordinates):
Zn (0.5000, 0.6186, 0.7708)  2 Se 2.58
Se (0.0000, 0.6058, 0.5158)  2 Zn 2.58
In (0.5000, 0.2761, 0.2697)  4 Se 3.08-3.36, 1 Zn 3.19, 2 In 3.33
In (0.0000, 0.9995, 0.9437)  4 Zn 2.91-3.12, 1 Se 3.18

Values from the calculation:
The total magnetization is 0.00 μB per formula unit. As for the energy: -2.66 eV per atom. The value obtained for the raw formation energy is -0.41 eV per formula unit. The symmetry is Pm, No. 6. As for the energy above the most stable polymorph in this dataset: 0.068 eV per atom. For the density, the calculation gives 6219 kg/m3.

# 9
# LiPuHg2

Crystalline LiPuHg2 at its relaxed geometry (GGA-PBE, Alexandria via LeMat-Bulk).

Lattice parameters (Å, degrees): 3.3934 3.3934 9.6591 79.81 79.81 59.97
Closest atoms and distances in Å follow each position.
Atoms (fractional coordinates):
Hg (0.2603, 0.2603, 0.2196)  3 Li 2.85-2.86
Hg (0.0730, 0.0730, 0.7804)  3 Li 2.85
Li (0.6668, 0.6668, 0.9997)  6 Hg 2.85-2.86
Pu (0.4999, 0.4999, 0.5003)  6 Hg 3.29-3.30, 6 Pu 3.39

Values from the calculation:
The total magnetization is 6.06 μB per formula unit. As for the energy: -4.31 eV per atom. The symmetry is Cm, No. 8. The calculation puts the energy relative to the elements at -2.3 kcal/mol of atoms. For the density, the calculation gives 11487 kg/m3.

# 10
# CaAcSb4

Crystalline CaAcSb4 at its relaxed geometry (GGA-PBE, Alexandria via LeMat-Bulk).

Lattice parameters (Å, degrees): 6.4195 6.4195 6.4195 60.00 60.00 60.00
Closest atoms and distances in Å follow each position.
Atoms (fractional coordinates):
Ac (0.2500, 0.2500, 0.2500)  12 Sb 3.77, 4 Ca 3.93
Ca (0.0000, 0.0000, 0.0000)  12 Sb 3.76, 4 Ac 3.93
Sb (0.6261, 0.6261, 0.6261)  6 Sb 3.18-3.24
Sb (0.6261, 0.1218, 0.6261)  6 Sb 3.18-3.24
Sb (0.1218, 0.6261, 0.6261)  6 Sb 3.18-3.24
Sb (0.6261, 0.6261, 0.1218)  6 Sb 3.18-3.24

Values from the calculation:
The total magnetization is 0.00 μB per formula unit. As for the energy: -4.16 eV per atom. The value obtained for the raw formation energy is -2.34 eV per formula unit. The symmetry is F-43m, No. 216. For the density, the calculation gives 6694 kg/m3.

# 11
# Sc3CrB

Crystalline Sc3CrB at its relaxed geometry (GGA-PBE, Alexandria via LeMat-Bulk).

Lattice parameters (Å, degrees): 4.6749 4.6749 4.6749 90.00 90.00 90.00
Closest atoms and distances in Å follow each position.
Atoms (fractional coordinates):
B (0.0000, 0.0000, 0.0000)  6 Sc 2.34
Sc (0.0000, 0.0000, 0.5000)  2 B 2.34
Sc (0.0000, 0.5000, 0.0000)  2 B 2.34
Sc (0.5000, 0.0000, 0.0000)  2 B 2.34
Cr (0.5000, 0.5000, 0.5000)  12 Sc 3.31

Values from the calculation:
The total magnetization is 4.05 μB per formula unit. As for the energy: -6.89 eV per atom. The symmetry is Pm-3m, No. 221. As for the energy above the most stable polymorph in this dataset: 0.000 eV per atom. The calculation puts the energy relative to the elements at 3.8 kcal/mol of atoms. For the density, the calculation gives 3213 kg/m3.

# 12
# PmCoBi

Crystalline PmCoBi at its relaxed geometry (GGA-PBE, Alexandria via LeMat-Bulk).

Lattice parameters (Å, degrees): 4.2352 6.4284 5.6514 78.58 90.00 109.23
Closest atoms and distances in Å follow each position.
Atoms (fractional coordinates):
Pm (0.3618, 0.7236, 0.8130)  4 Co 2.96-3.01
Pm (0.6382, 0.2764, 0.1870)  4 Co 2.96-3.01
Bi (0.0948, 0.1896, 0.7092)  3 Co 2.61-2.67
Bi (0.9052, 0.8104, 0.2908)  3 Co 2.61-2.67
Co (0.2764, 0.5528, 0.3492)  3 Bi 2.61-2.67, 2 Co 2.71
Co (0.7236, 0.4472, 0.6508)  3 Bi 2.61-2.67, 2 Co 2.71

Values from the calculation:
The total magnetization is 0.00 μB per formula unit. As for the energy: -5.57 eV per atom. The symmetry is C2/m, No. 12. As for the energy above the most stable polymorph in this dataset: 0.013 eV per atom. The calculation puts the energy relative to the elements at -7.6 kcal/mol of atoms. For the density, the calculation gives 9654 kg/m3.